[1]
This record from the Alexandria database describes an optimized crystal structure of Zr2Mn. The functional is PBE.

a b c (Å): 4.786 4.786 6.030
angles (deg): 90.00 90.00 120.00
Each line ends with the local moment (μB).
Fractional coordinates of all 6 atoms:
Zr  0.000  0.000  0.000  -0.30
Zr  0.000  0.000  0.500  -0.30
Zr  0.333  0.667  0.750  -0.32
Zr  0.667  0.333  0.250  -0.32
Mn  0.333  0.667  0.250  2.99
Mn  0.667  0.333  0.750  2.99

Properties
For the total energy, the calculation gives -8.6423 eV/atom. For the mass density, the calculation gives 6.59 Mg/m³.

[2]
This record from the Alexandria database describes an optimized crystal structure of ZrMn. The functional is PBE.

a b c (Å): 4.140 4.140 4.140
angles (deg): 60.00 60.00 60.00
Each line ends with the local moment (μB).
Fractional coordinates of all 2 atoms:
Mn  0.000  0.000  0.000  2.82
Zr  0.750  0.750  0.750  -0.17

Properties
For the total energy, the calculation gives -7.1637 eV/atom. For the mass density, the calculation gives 4.84 Mg/m³.

[3]
This record from the Alexandria database describes an optimized crystal structure of ZrMn. The functional is PBE.

a b c (Å): 5.580 5.580 6.580
angles (deg): 71.63 71.63 33.04
Each line ends with the local moment (μB).
Fractional coordinates of all 6 atoms:
Zr  0.024  0.024  0.940  0.07
Zr  0.025  0.025  0.460  -0.03
Zr  0.721  0.721  0.095  -0.15
Mn  0.709  0.709  0.605  -2.33
Mn  0.352  0.352  0.322  2.69
Mn  0.336  0.336  0.745  2.50

Properties
For the total energy, the calculation gives -8.7776 eV/atom. For the mass density, the calculation gives 6.90 Mg/m³.